Density functional theory data (PBE) for a geometry-optimized Sm6Te3Se2 structure.

a = 4.233 Å, b = 4.233 Å, c = 21.470 Å
α = 84.34°, β = 84.34°, γ = 60.00°
Element x y z (fractional)
Sm 0.907 0.907 0.278
Sm 0.637 0.637 0.088
Sm 0.810 0.810 0.570
Sm 0.190 0.190 0.430
Sm 0.363 0.363 0.912
Sm 0.093 0.093 0.722
Se 0.549 0.549 0.353
Se 0.451 0.451 0.647
Te 0.000 0.000 0.000
Te 0.728 0.728 0.817
Te 0.272 0.272 0.183

Crystal system ... trigonal
Symmetry ... R-3m, No. 166
Formation energy from raw total energies ... -1.38 eV/atom
Total moment ... 0.0 μB/f.u.
DOS at the Fermi energy ... 5.91 states/eV per cell

=====

Density functional theory data (PBE) for a geometry-optimized EuPuCdSn structure.

a = 5.471 Å, b = 5.471 Å, c = 5.471 Å
α = 60.00°, β = 60.00°, γ = 60.00°
Last column: magnetic moment on the atom in μB.
Element x y z (fractional)
Cd 0.250 0.250 0.250  -0.03
Eu 0.000 0.000 0.000  6.80
Sn 0.750 0.750 0.750  0.04
Pu 0.500 0.500 0.500  -5.54

Energy relative to the elements ... -1.23 eV per formula unit
Crystal system ... cubic
Symmetry ... F-43m, No. 216
Total moment ... 1.1 μB/f.u.
DOS at the Fermi energy ... 20.15 states/eV per cell

=====

Density functional theory data (PBE) for a geometry-optimized K2ZnPt structure.

a = 4.375 Å, b = 4.375 Å, c = 9.098 Å
α = 76.46°, β = 76.46°, γ = 59.97°
Element x y z (fractional)
K 0.960 0.960 0.113
K 0.790 0.790 0.637
Pt 0.542 0.542 0.375
Zn 0.208 0.208 0.375

Energy relative to the elements ... -0.82 eV per formula unit
Crystal system ... monoclinic
Symmetry ... Cm, No. 8
Total moment ... 0.0 μB/f.u.
DOS at the Fermi energy ... 1.20 states/eV per cell

=====

Density functional theory data (PBE) for a geometry-optimized MgH2Pt2 structure.

a = 5.599 Å, b = 5.599 Å, c = 3.620 Å
α = 90.00°, β = 90.00°, γ = 90.00°
Element x y z (fractional)
Pt 0.826 0.674 0.500
Pt 0.326 0.826 0.500
Pt 0.674 0.174 0.500
Pt 0.174 0.326 0.500
H 0.842 0.658 0.000
H 0.658 0.158 0.000
H 0.158 0.342 0.000
H 0.342 0.842 0.000
Mg 0.500 0.500 0.000
Mg 0.000 0.000 0.000

Crystal system ... tetragonal
Symmetry ... P4/mbm, No. 127
Total moment ... 0.0 μB/f.u.
ΔE to the lowest computed polymorph ... 0.0000 eV per atom
DOS at the Fermi energy ... 4.33 states/eV per cell

=====

Density functional theory data (PBE) for a geometry-optimized MgIn6Hg2 structure.

a = 3.313 Å, b = 3.313 Å, c = 25.022 Å
α = 90.00°, β = 90.00°, γ = 120.00°
Element x y z (fractional)
In 0.667 0.333 0.102
In 0.333 0.667 0.212
In 0.333 0.667 0.563
In 0.667 0.333 0.898
In 0.333 0.667 0.788
In 0.333 0.667 0.437
Hg 0.667 0.333 0.675
Hg 0.667 0.333 0.325
Mg 0.333 0.667 0.000

Energy relative to the elements ... 0.08 eV per formula unit
Crystal system ... hexagonal
Symmetry ... P-6m2, No. 187
Total moment ... 0.0 μB/f.u.
DOS at the Fermi energy ... 2.65 states/eV per cell

=====

Density functional theory data (PBE) for a geometry-optimized Ce5Zn3Sn3 structure.

a = 3.298 Å, b = 9.865 Å, c = 9.865 Å
α = 120.00°, β = 90.00°, γ = 90.00°
Last column: magnetic moment on the atom in μB.
Element x y z (fractional)
Zn 0.500 0.143 0.143  0.00
Zn 0.500 0.000 0.857  0.00
Zn 0.500 0.857 0.000  0.00
Ce 0.500 0.667 0.333  0.74
Ce 0.500 0.333 0.667  0.74
Ce 0.500 0.647 0.647  0.84
Ce 0.500 0.000 0.353  0.84
Ce 0.500 0.353 0.000  0.84
Sn 0.000 0.366 0.366  -0.02
Sn 0.000 0.000 0.634  -0.02
Sn 0.000 0.634 0.000  -0.02

Energy relative to the elements ... -0.54 eV per formula unit
Crystal system ... hexagonal
Symmetry ... P-62m, No. 189
Total moment ... 5.0 μB/f.u.
DOS at the Fermi energy ... 26.89 states/eV per cell

=====

Density functional theory data (PBE) for a geometry-optimized AgPWS2 structure.

a = 4.653 Å, b = 4.653 Å, c = 4.859 Å
α = 90.00°, β = 90.00°, γ = 90.00°
Element x y z (fractional)
Ag 0.500 0.500 0.500
S 0.500 0.000 0.000
S 0.000 0.500 0.000
P 0.000 0.000 0.500
W 0.000 0.000 0.000

Crystal system ... tetragonal
Symmetry ... P4/mmm, No. 123
Formation energy from raw total energies ... 0.35 eV/atom
Total moment ... 0.0 μB/f.u.
ΔE to the lowest computed polymorph ... 0.0000 eV per atom
DOS at the Fermi energy ... 4.41 states/eV per cell

=====

Density functional theory data (PBE) for a geometry-optimized CaB2C6 structure.

a = 6.347 Å, b = 5.210 Å, c = 5.146 Å
α = 75.58°, β = 52.66°, γ = 51.75°
Element x y z (fractional)
C 0.915 0.411 0.589
C 0.411 0.915 0.085
C 0.922 0.922 0.578
C 0.583 0.583 0.917
C 0.083 0.083 0.417
C 0.422 0.422 0.078
B 0.577 0.092 0.908
B 0.092 0.577 0.423
Ca 0.997 0.997 0.003

Energy relative to the elements ... -1.41 eV per formula unit
Crystal system ... orthorhombic
Symmetry ... Fmm2, No. 42
Total moment ... 0.0 μB/f.u.

=====

Density functional theory data (PBE) for a geometry-optimized KCrFe2N structure.

a = 4.808 Å, b = 3.736 Å, c = 4.808 Å
α = 90.00°, β = 90.00°, γ = 90.00°
Last column: magnetic moment on the atom in μB.
Element x y z (fractional)
Fe 0.500 0.000 0.000  2.83
Fe 0.000 0.000 0.500  3.01
N 0.000 0.500 0.000  0.26
Cr 0.000 0.000 0.000  -1.28
K 0.500 0.500 0.500  0.01

Crystal system ... tetragonal
Symmetry ... P4/mmm, No. 123
Formation energy from raw total energies ... 1.08 eV/atom
Total moment ... 5.0 μB/f.u.
DOS at the Fermi energy ... 5.13 states/eV per cell

=====

Density functional theory data (PBE) for a geometry-optimized Tl2InBr8 structure.

a = 6.957 Å, b = 8.514 Å, c = 8.514 Å
α = 58.94°, β = 94.01°, γ = 94.01°
Element x y z (fractional)
Br 0.774 0.297 0.834
Br 0.301 0.649 0.649
Br 0.226 0.703 0.166
Br 0.792 0.835 0.835
Br 0.774 0.834 0.297
Br 0.208 0.165 0.165
Br 0.699 0.351 0.351
Br 0.226 0.166 0.703
Tl 0.386 0.825 0.825
Tl 0.614 0.175 0.175
In 0.000 0.000 0.000

Crystal system ... monoclinic
Symmetry ... C2/m, No. 12
Formation energy from raw total energies ... -0.53 eV/atom
Total moment ... 0.0 μB/f.u.
DOS at the Fermi energy ... 5.08 states/eV per cell

=====

Density functional theory data (PBE) for a geometry-optimized Ce3Nd2S8 structure.

a = 4.765 Å, b = 9.778 Å, c = 8.437 Å
α = 125.41°, β = 90.00°, γ = 90.00°
Last column: magnetic moment on the atom in μB.
Element x y z (fractional)
S 0.500 0.117 0.756  -0.03
S 0.000 0.625 0.250  -0.01
S 0.500 0.883 0.244  -0.03
S 0.000 0.884 0.769  -0.03
S 0.000 0.116 0.231  -0.03
S 0.500 0.361 0.244  -0.03
S 0.000 0.375 0.750  -0.01
S 0.500 0.639 0.756  -0.03
Ce 0.000 0.278 0.000  0.68
Ce 0.500 0.000 0.000  0.64
Ce 0.000 0.722 0.000  0.68
Nd 0.500 0.269 0.538  0.01
Nd 0.500 0.731 0.462  0.01

Crystal system ... orthorhombic
Symmetry ... Cmmm, No. 65
Formation energy from raw total energies ... -1.87 eV/atom
Total moment ... 2.0 μB/f.u.
ΔE to the lowest computed polymorph ... 0.0448 eV per atom
DOS at the Fermi energy ... 11.97 states/eV per cell

=====

Density functional theory data (PBE) for a geometry-optimized TaAg2Ir structure.

a = 3.571 Å, b = 3.571 Å, c = 5.369 Å
α = 90.00°, β = 90.00°, γ = 90.00°
Element x y z (fractional)
Ag 0.000 0.000 0.497
Ag 0.000 0.000 0.003
Ir 0.500 0.500 0.250
Ta 0.500 0.500 0.750

Energy relative to the elements ... 1.94 eV per formula unit
Crystal system ... tetragonal
Symmetry ... P4/mmm, No. 123
Total moment ... 0.0 μB/f.u.
ΔE to the lowest computed polymorph ... 0.4592 eV per atom
DOS at the Fermi energy ... 5.19 states/eV per cell

=====

Density functional theory data (PBE) for a geometry-optimized MgZrBe2 structure.

a = 3.846 Å, b = 3.278 Å, c = 5.173 Å
α = 71.41°, β = 90.00°, γ = 90.00°
Element x y z (fractional)
Be 0.000 0.183 0.008
Be 0.500 0.062 0.250
Zr 0.500 0.777 0.823
Mg 0.000 0.478 0.420

Energy relative to the elements ... 0.29 eV per formula unit
Crystal system ... monoclinic
Symmetry ... Pm, No. 6
Total moment ... 0.0 μB/f.u.
DOS at the Fermi energy ... 2.36 states/eV per cell

=====

Density functional theory data (PBE) for a geometry-optimized ZrAlNi structure.

a = 4.235 Å, b = 4.235 Å, c = 6.961 Å
α = 90.00°, β = 90.00°, γ = 120.00°
Element x y z (fractional)
Zr 0.333 0.667 0.237
Zr 0.333 0.667 0.763
Ni 0.000 0.000 0.340
Ni 0.000 0.000 0.660
Al 0.667 0.333 0.000
Al 0.667 0.333 0.500

Energy relative to the elements ... -0.33 eV per formula unit
Crystal system ... hexagonal
Symmetry ... P-6m2, No. 187
Total moment ... 0.0 μB/f.u.
DOS at the Fermi energy ... 5.54 states/eV per cell

=====

Density functional theory data (PBE) for a geometry-optimized PaAgPd2 structure.

a = 4.786 Å, b = 4.786 Å, c = 4.786 Å
α = 60.00°, β = 60.00°, γ = 60.00°
Element x y z (fractional)
Ag 0.500 0.500 0.500
Pa 0.000 0.000 0.000
Pd 0.250 0.250 0.250
Pd 0.750 0.750 0.750

Energy relative to the elements ... -1.52 eV per formula unit
Crystal system ... cubic
Symmetry ... Fm-3m, No. 225
Total moment ... 0.0 μB/f.u.
ΔE to the lowest computed polymorph ... 0.0000 eV per atom
DOS at the Fermi energy ... 4.61 states/eV per cell

=====

Density functional theory data (PBE) for a geometry-optimized Pm2NpGe3Pt4 structure.

a = 4.324 Å, b = 4.324 Å, c = 11.100 Å
α = 90.00°, β = 90.00°, γ = 90.00°
Last column: magnetic moment on the atom in μB.
Element x y z (fractional)
Np 0.500 0.500 0.500  3.64
Pt 0.000 0.500 0.343  -0.03
Pt 0.000 0.000 0.000  0.02
Pt 0.500 0.500 0.000  0.02
Pt 0.500 0.000 0.657  -0.03
Pm 0.000 0.500 0.777  0.05
Pm 0.500 0.000 0.223  0.05
Ge 0.000 0.500 0.122  0.01
Ge 0.500 0.000 0.878  0.01
Ge 0.000 0.000 0.500  -0.04

Energy relative to the elements ... -8.04 eV per formula unit
Crystal system ... tetragonal
Symmetry ... P-4m2, No. 115
Total moment ... 4.1 μB/f.u.
DOS at the Fermi energy ... 11.64 states/eV per cell

=====

Density functional theory data (PBE) for a geometry-optimized SrBr2N2 structure.

a = 4.719 Å, b = 4.719 Å, c = 5.681 Å
α = 65.46°, β = 65.46°, γ = 90.00°
Element x y z (fractional)
Br 0.692 0.692 0.616
Br 0.308 0.308 0.384
N 0.750 0.250 0.500
N 0.250 0.750 0.500
Sr 0.000 0.000 0.000

Crystal system ... tetragonal
Symmetry ... I4/mmm, No. 139
Formation energy from raw total energies ... 0.95 eV/atom
Total moment ... 0.0 μB/f.u.
ΔE to the lowest computed polymorph ... 2.2201 eV per atom
DOS at the Fermi energy ... 2.03 states/eV per cell

=====

Density functional theory data (PBE) for a geometry-optimized Zr6GaFe structure.

a = 5.999 Å, b = 5.984 Å, c = 6.894 Å
α = 64.20°, β = 64.17°, γ = 60.05°
Element x y z (fractional)
Fe 0.000 0.000 0.000
Zr 0.775 0.040 0.759
Zr 0.040 0.427 0.759
Zr 0.427 0.774 0.759
Zr 0.225 0.960 0.241
Zr 0.573 0.226 0.241
Zr 0.960 0.573 0.241
Ga 0.500 0.500 0.500

Energy relative to the elements ... 1.42 eV per formula unit
Crystal system ... triclinic
Symmetry ... P-1, No. 2
Total moment ... 0.0 μB/f.u.
DOS at the Fermi energy ... 8.56 states/eV per cell

=====

Density functional theory data (PBE) for a geometry-optimized ScSiIr2 structure.

a = 6.974 Å, b = 6.974 Å, c = 5.670 Å
α = 52.05°, β = 52.05°, γ = 90.00°
Element x y z (fractional)
Si 0.500 0.500 0.000
Si 0.250 0.750 0.500
Ir 0.875 0.813 0.750
Ir 0.375 0.437 0.750
Ir 0.563 0.125 0.250
Ir 0.187 0.625 0.250
Sc 0.750 0.250 0.500
Sc 0.000 0.000 0.000

Crystal system ... tetragonal
Symmetry ... I-42d, No. 122
Formation energy from raw total energies ... -0.44 eV/atom
Total moment ... 0.0 μB/f.u.
DOS at the Fermi energy ... 4.00 states/eV per cell

=====

Density functional theory data (PBE) for a geometry-optimized La2SeCl structure.

a = 3.997 Å, b = 6.579 Å, c = 4.449 Å
α = 90.00°, β = 90.00°, γ = 90.00°
Element x y z (fractional)
La 0.500 0.500 0.000
La 0.000 0.000 0.000
Se 0.500 0.000 0.500
Cl 0.000 0.500 0.500

Crystal system ... orthorhombic
Symmetry ... Pmmm, No. 47
Formation energy from raw total energies ... -1.47 eV/atom
Total moment ... 0.0 μB/f.u.
ΔE to the lowest computed polymorph ... 0.3071 eV per atom
DOS at the Fermi energy ... 2.43 states/eV per cell

=====

Density functional theory data (PBE) for a geometry-optimized PuHfNiOs structure.

a = 4.669 Å, b = 4.669 Å, c = 4.669 Å
α = 60.00°, β = 60.00°, γ = 60.00°
Last column: magnetic moment on the atom in μB.
Element x y z (fractional)
Os 0.750 0.750 0.750  -0.14
Ni 0.250 0.250 0.250  0.07
Pu 0.000 0.000 0.000  4.96
Hf 0.500 0.500 0.500  0.20

Energy relative to the elements ... -0.83 eV per formula unit
Crystal system ... cubic
Symmetry ... F-43m, No. 216
Total moment ... 5.4 μB/f.u.
DOS at the Fermi energy ... 7.74 states/eV per cell

=====

Density functional theory data (PBE) for a geometry-optimized NaNd2PbS4 structure.

a = 8.279 Å, b = 8.279 Å, c = 8.321 Å
α = 120.17°, β = 120.17°, γ = 89.70°
Element x y z (fractional)
Nd 0.500 0.000 0.000
Nd 0.500 0.000 0.500
Nd 0.500 0.500 0.000
Nd 0.000 0.000 0.500
S 0.743 0.239 0.491
S 0.257 0.761 0.509
S 0.261 0.757 0.009
S 0.739 0.243 0.991
S 0.745 0.755 0.009
S 0.255 0.245 0.509
S 0.255 0.245 0.991
S 0.745 0.755 0.491
Pb 0.000 0.500 0.500
Pb 0.000 0.500 0.000
Na 0.500 0.500 0.500
Na 0.000 0.000 0.000

Crystal system ... orthorhombic
Symmetry ... Imma, No. 74
Formation energy from raw total energies ... -1.49 eV/atom
Total moment ... 0.0 μB/f.u.
DOS at the Fermi energy ... 7.11 states/eV per cell

=====

Density functional theory data (PBE) for a geometry-optimized Cr2SbPt structure.

a = 4.840 Å, b = 4.840 Å, c = 4.840 Å
α = 129.72°, β = 129.71°, γ = 73.86°
Last column: magnetic moment on the atom in μB.
Element x y z (fractional)
Cr 0.500 0.500 0.000  2.98
Cr 0.000 0.000 0.000  2.98
Sb 0.250 0.750 0.500  -0.13
Pt 0.750 0.250 0.500  0.12

Crystal system ... tetragonal
Symmetry ... I4/mmm, No. 139
Formation energy from raw total energies ... 0.10 eV/atom
Total moment ... 6.3 μB/f.u.
DOS at the Fermi energy ... 4.43 states/eV per cell

=====

Density functional theory data (PBE) for a geometry-optimized Zr2TiMoN structure.

a = 5.243 Å, b = 3.852 Å, c = 5.243 Å
α = 90.00°, β = 90.00°, γ = 90.00°
Last column: magnetic moment on the atom in μB.
Element x y z (fractional)
Zr 0.000 0.000 0.500  0.10
Zr 0.500 0.000 0.000  0.18
Mo 0.000 0.000 0.000  -0.12
Ti 0.500 0.500 0.500  1.00
N 0.000 0.500 0.000  0.00

Crystal system ... tetragonal
Symmetry ... P4/mmm, No. 123
Formation energy from raw total energies ... 0.84 eV/atom
Total moment ... 1.6 μB/f.u.
ΔE to the lowest computed polymorph ... 1.5020 eV per atom
DOS at the Fermi energy ... 6.43 states/eV per cell

=====

Density functional theory data (PBE) for a geometry-optimized TbNpFe2 structure.

a = 4.449 Å, b = 7.666 Å, c = 8.649 Å
α = 90.00°, β = 90.00°, γ = 90.00°
Last column: magnetic moment on the atom in μB.
Element x y z (fractional)
Fe 0.750 0.237 0.473  0.69
Fe 0.750 0.230 0.808  0.96
Fe 0.250 0.763 0.527  0.69
Fe 0.250 0.263 0.973  0.69
Fe 0.250 0.270 0.308  0.96
Fe 0.750 0.737 0.027  0.69
Fe 0.250 0.770 0.192  0.96
Fe 0.750 0.730 0.692  0.96
Np 0.250 0.019 0.420  -1.23
Np 0.250 0.519 0.080  -1.23
Np 0.750 0.981 0.580  -1.23
Np 0.750 0.481 0.920  -1.23
Tb 0.250 0.410 0.642  -0.04
Tb 0.750 0.590 0.358  -0.04
Tb 0.750 0.090 0.142  -0.04
Tb 0.250 0.910 0.858  -0.04

Energy relative to the elements ... 0.22 eV per formula unit
Crystal system ... orthorhombic
Symmetry ... Pnma, No. 62
Total moment ... 0.4 μB/f.u.
DOS at the Fermi energy ... 20.17 states/eV per cell